*one*
## Dy8Zn2Rh (PBE)

Data for a relaxed Dy8Zn2Rh crystal.

Cell lengths 5.103, 6.701, 9.093 Å; angles 103.61, 106.30, 90.00 degrees
Element x y z (fractional)
1 Dy 0.589 0.439 0.179
2 Dy 0.658 0.964 0.316
3 Dy 0.411 0.561 0.821
4 Dy 0.201 0.316 0.402
5 Dy 0.972 0.219 0.944
6 Dy 0.799 0.684 0.598
7 Dy 0.342 0.036 0.684
8 Dy 0.028 0.781 0.056
9 Rh 0.500 0.000 0.000
10 Zn 0.191 0.733 0.381
11 Zn 0.809 0.267 0.619

Summary:
M_tot = 0.00 μB per atom
D(E_F) = 0.816 states/eV per atom
space-group type = No. 12

=====

*two*
## Dy8Zn2Rh (PBE)

Data for a relaxed Dy8Zn2Rh crystal.

Cell lengths 6.051, 8.798, 8.798 Å; angles 129.44, 103.50, 103.50 degrees
Element x y z (fractional)
1 Dy 0.302 0.618 0.847
2 Dy 0.302 0.847 0.618
3 Dy 0.122 0.272 0.272
4 Dy 0.770 0.719 0.719
5 Dy 0.648 0.397 0.160
6 Dy 0.985 0.199 0.808
7 Dy 0.648 0.160 0.397
8 Dy 0.985 0.808 0.199
9 Zn 0.473 0.282 0.725
10 Zn 0.473 0.725 0.282
11 Rh 0.292 0.008 0.008

Summary:
M_tot = 0.00 μB per atom
D(E_F) = 1.065 states/eV per atom
space-group type = No. 8

=====

What should be chosen as the least stable of them? Choose *two*.

=====

*one*
## Dy4ZnRh (PBE)

Data for a relaxed Dy4ZnRh crystal.

Cell lengths 9.471, 9.471, 9.471 Å; angles 60.00, 60.00, 60.00 degrees
Element x y z (fractional)
1 Dy 0.186 0.186 0.814
2 Dy 0.186 0.814 0.186
3 Dy 0.814 0.186 0.814
4 Dy 0.186 0.814 0.814
5 Dy 0.396 0.812 0.396
6 Dy 0.941 0.559 0.559
7 Dy 0.559 0.559 0.941
8 Dy 0.559 0.941 0.559
9 Dy 0.814 0.186 0.186
10 Dy 0.559 0.941 0.941
11 Dy 0.812 0.396 0.396
12 Dy 0.396 0.396 0.396
13 Dy 0.941 0.941 0.559
14 Dy 0.396 0.396 0.812
15 Dy 0.941 0.559 0.941
16 Dy 0.814 0.814 0.186
17 Rh 0.606 0.181 0.606
18 Rh 0.606 0.606 0.606
19 Rh 0.181 0.606 0.606
20 Rh 0.606 0.606 0.181
21 Zn 0.487 0.171 0.171
22 Zn 0.171 0.487 0.171
23 Zn 0.171 0.171 0.487
24 Zn 0.171 0.171 0.171

Summary:
M_tot = 0.00 μB per atom
D(E_F) = 0.538 states/eV per atom
space-group type = No. 216

=====

*two*
## Dy4ZnRh (PBE)

Data for a relaxed Dy4ZnRh crystal.

Cell lengths 4.866, 4.866, 6.895 Å; angles 89.86, 89.93, 90.00 degrees
Element x y z (fractional)
1 Dy 0.002 0.498 0.740
2 Dy 0.501 0.997 0.256
3 Dy 0.502 0.998 0.740
4 Dy 0.001 0.497 0.256
5 Rh 0.001 0.997 0.498
6 Zn 0.501 0.497 0.998

Summary:
M_tot = 0.00 μB per atom
D(E_F) = 1.449 states/eV per atom
space-group type = No. 12

=====

What should be chosen as the least stable of them? Choose *two*.

=====

*one*
## Dy2ZrRh (PBE)

Data for a relaxed Dy2ZrRh crystal.

Cell lengths 3.466, 3.466, 7.863 Å; angles 90.00, 90.00, 90.00 degrees
Element x y z (fractional)
1 Dy 0.000 0.000 0.210
2 Dy 0.000 0.000 0.790
3 Rh 0.500 0.500 0.000
4 Zr 0.500 0.500 0.500

Summary:
M_tot = 0.00 μB per atom
D(E_F) = 1.346 states/eV per atom
space-group type = No. 123

=====

*two*
## Dy2ZrRh (PBE)

Data for a relaxed Dy2ZrRh crystal.

Cell lengths 3.358, 3.358, 10.494 Å; angles 80.79, 80.79, 60.00 degrees
Element x y z (fractional)
1 Rh 0.500 0.500 0.500
2 Zr 0.000 0.000 0.000
3 Dy 0.102 0.102 0.694
4 Dy 0.898 0.898 0.306

Summary:
M_tot = 0.00 μB per atom
D(E_F) = 1.240 states/eV per atom
space-group type = No. 166

=====

What should be chosen as the least stable of them? Choose *two*.

=====

*one*
## DyZrRh4 (PBE)

Data for a relaxed DyZrRh4 crystal.

Cell lengths 3.145, 4.536, 7.867 Å; angles 90.03, 89.91, 90.00 degrees
Element x y z (fractional)
1 Zr 0.001 0.997 0.498
2 Rh 0.502 0.997 0.226
3 Rh 0.002 0.497 0.297
4 Rh 0.500 0.997 0.771
5 Rh 0.001 0.497 0.699
6 Dy 0.501 0.497 0.998

Summary:
M_tot = 0.00 μB per atom
D(E_F) = 1.062 states/eV per atom
space-group type = No. 10

=====

*two*
## DyZrRh4 (PBE)

Data for a relaxed DyZrRh4 crystal.

Cell lengths 5.276, 5.276, 5.276 Å; angles 60.00, 60.00, 60.00 degrees
Element x y z (fractional)
1 Dy 0.000 0.000 0.000
2 Rh 0.625 0.125 0.625
3 Rh 0.125 0.625 0.625
4 Rh 0.625 0.625 0.125
5 Rh 0.625 0.625 0.625
6 Zr 0.250 0.250 0.250

Summary:
M_tot = 0.00 μB per atom
D(E_F) = 0.548 states/eV per atom
space-group type = No. 216

=====

What should be chosen as the least stable of them? Choose *one*.

=====

*one*
## DyZrRh (PBE)

Data for a relaxed DyZrRh crystal.

Cell lengths 4.611, 4.611, 6.623 Å; angles 90.00, 90.00, 90.00 degrees
Element x y z (fractional)
1 Zr 0.000 0.000 0.500
2 Zr 0.500 0.500 0.500
3 Dy 0.500 0.000 0.129
4 Dy 0.000 0.500 0.871
5 Rh 0.500 0.000 0.710
6 Rh 0.000 0.500 0.290

Summary:
M_tot = 0.00 μB per atom
D(E_F) = 1.058 states/eV per atom
space-group type = No. 129

=====

*two*
## DyZrRh (PBE)

Data for a relaxed DyZrRh crystal.

Cell lengths 7.025, 8.452, 8.452 Å; angles 67.60, 65.44, 65.44 degrees
Element x y z (fractional)
1 Rh 0.087 0.166 0.166
2 Rh 0.751 0.750 0.250
3 Rh 0.752 0.250 0.750
4 Rh 0.087 0.666 0.666
5 Rh 0.420 0.334 0.334
6 Rh 0.420 0.834 0.834
7 Zr 0.497 0.629 0.629
8 Zr 0.010 0.500 0.500
9 Zr 0.754 0.871 0.871
10 Zr 0.010 0.000 0.000
11 Zr 0.497 0.129 0.129
12 Zr 0.754 0.371 0.371
13 Dy 0.342 0.750 0.250
14 Dy 0.753 0.956 0.456
15 Dy 0.754 0.456 0.956
16 Dy 0.342 0.250 0.750
17 Dy 0.165 0.544 0.044
18 Dy 0.165 0.044 0.544

Summary:
M_tot = 0.00 μB per atom
D(E_F) = 1.111 states/eV per atom
space-group type = No. 38

=====

*three*
## DyZrRh (PBE)

Data for a relaxed DyZrRh crystal.

Cell lengths 3.414, 3.414, 6.108 Å; angles 106.23, 106.23, 90.00 degrees
Element x y z (fractional)
1 Zr 0.306 0.306 0.611
2 Dy 0.015 0.015 0.029
3 Rh 0.680 0.680 0.360

Summary:
M_tot = 0.22 μB per atom
D(E_F) = 1.344 states/eV per atom
space-group type = No. 107

=====

What should be chosen as the least stable of them? Choose *three*.

=====

*one*
## Dy3Ru2 (PBE)

Data for a relaxed Dy3Ru2 crystal.

Cell lengths 4.820, 7.538, 10.157 Å; angles 89.62, 90.00, 108.64 degrees
Element x y z (fractional)
1 Dy 0.832 0.664 0.670
2 Dy 0.168 0.336 0.330
3 Dy 0.500 0.000 0.000
4 Dy 0.836 0.673 0.335
5 Dy 0.501 0.001 0.665
6 Dy 0.164 0.327 0.665
7 Dy 0.832 0.664 0.005
8 Dy 0.499 0.999 0.335
9 Dy 0.168 0.336 0.995
10 Ru 0.331 0.662 0.503
11 Ru 0.003 0.006 0.164
12 Ru 0.997 0.994 0.836
13 Ru 0.669 0.338 0.497
14 Ru 0.665 0.330 0.168
15 Ru 0.335 0.670 0.832

Summary:
M_tot = 0.00 μB per atom
D(E_F) = 0.775 states/eV per atom
space-group type = No. 12

=====

*two*
## Dy3Ru2 (PBE)

Data for a relaxed Dy3Ru2 crystal.

Cell lengths 7.616, 7.616, 4.708 Å; angles 90.00, 90.00, 120.00 degrees
Element x y z (fractional)
1 Dy 0.305 0.384 0.250
2 Dy 0.078 0.695 0.250
3 Dy 0.384 0.078 0.750
4 Dy 0.695 0.616 0.750
5 Dy 0.616 0.922 0.250
6 Dy 0.922 0.305 0.750
7 Ru 0.667 0.333 0.250
8 Ru 0.000 0.000 0.500
9 Ru 0.333 0.667 0.750
10 Ru 0.000 0.000 0.000

Summary:
M_tot = 0.00 μB per atom
D(E_F) = 0.586 states/eV per atom
space-group type = No. 176

=====

What should be chosen as the least stable of them? Choose *one*.